The following is a PBE calculation of a relaxed CaNi3 crystal, from the Alexandria database.

SG: Pm-3n (223)
Spin magnetization (μB/f.u.): 1.2
Energy relative to the elements (eV/f.u.): 1.38

a = 4.920 Å, b = 4.920 Å, c = 4.920 Å
α = 90.00°, β = 90.00°, γ = 90.00°
Sites, in units of the cell vectors:
Ca  0.000  0.000  0.000
Ca  0.500  0.500  0.500
Ni  0.000  0.250  0.500
Ni  0.000  0.750  0.500
Ni  0.250  0.500  0.000
Ni  0.500  0.000  0.250
Ni  0.500  0.000  0.750
Ni  0.750  0.500  0.000